Here is a relaxed RbCrBi2 crystal from Alexandria. Energies are from GGA-PBE.

POSCAR file:
```
RbCrBi2
1.0
6.465 0.000 0.000
0.000 6.465 0.000
3.233 3.233 8.621
Cr Rb Bi
2 2 4
direct
0.250 0.750 0.500
0.500 0.500 0.000
0.000 0.000 0.000
0.750 0.250 0.500
0.375 0.626 0.750
0.374 0.125 0.250
0.875 0.624 0.750
0.376 0.625 0.250
```

Its total energy is -34.77 eV for the cell shown. As for the volume: 45.0 Å³/atom. The theoretical density comes out at 5.1 Mg/m³. As for the space group: I4_1/amd, No. 141. The value obtained for the total magnetization is 2.9 μB per formula unit.